No. 1
Y2Er5Co2 PBE optimized geometry; space group = No. 64
1.0
-3.399 3.426 5.068
1.850 -4.902 4.555
6.423 6.704 4.607
Er Y Co
10 4 4
Direct
0.075 0.677 0.211
0.425 0.177 0.789
0.286 0.677 0.789
0.786 0.823 0.789
0.214 0.177 0.211
0.575 0.823 0.211
0.925 0.323 0.789
0.714 0.323 0.211
0.000 0.000 0.000
0.500 0.500 0.000
0.732 0.500 0.537
0.232 0.000 0.537
0.768 0.000 0.463
0.268 0.500 0.463
0.386 0.890 0.000
0.114 0.390 0.000
0.614 0.110 0.000
0.886 0.610 0.000

No. 2
Y2ErCo2 PBE optimized geometry; ΔE to the lowest computed polymorph = 16 meV per atom; space group = No. 12
1.0
3.616 0.000 1.540
0.962 5.082 2.755
-0.353 0.104 5.844
Y Co Er
2 2 1
Direct
0.305 0.195 0.696
0.695 0.805 0.304
0.999 0.810 0.691
0.001 0.190 0.309
0.500 0.500 0.000

No. 3
Y4ErCo2 PBE optimized geometry; space group = No. 11
1.0
-5.499 0.608 -3.125
3.892 0.508 -6.749
-1.851 -7.182 1.858
Y Co Er
8 4 2
Direct
0.498 0.587 0.240
0.002 0.587 0.240
0.250 0.248 0.323
0.750 0.019 0.374
0.250 0.981 0.626
0.750 0.752 0.677
0.502 0.413 0.760
0.998 0.413 0.760
0.750 0.371 0.406
0.250 0.266 0.986
0.250 0.629 0.594
0.750 0.734 0.014
0.250 0.833 0.971
0.750 0.167 0.029

No. 4
Y2ErCo PBE optimized geometry; ΔE to the lowest computed polymorph = 25 meV per atom; space group = No. 11
1.0
3.669 -0.147 0.000
-1.596 6.074 0.000
0.000 0.000 9.342
Y Er Co
4 2 2
Direct
0.140 0.280 0.428
0.860 0.720 0.572
0.860 0.720 0.928
0.140 0.280 0.072
0.414 0.829 0.250
0.586 0.171 0.750
0.751 0.502 0.250
0.249 0.498 0.750

No. 5
YEr2Co2 PBE optimized geometry; ΔE to the lowest computed polymorph = 66 meV per atom; space group = No. 12
1.0
3.722 0.000 0.000
0.000 5.443 0.126
-1.861 -1.431 5.425
Co Er Y
2 2 1
Direct
0.282 0.896 0.564
0.718 0.104 0.436
0.649 0.581 0.297
0.351 0.419 0.703
0.000 0.000 0.000

No. 6
Y3Er3Co2 PBE optimized geometry; space group = No. 63
1.0
-2.123 -0.191 -2.897
4.596 -4.898 -0.813
-10.871 -11.652 8.733
Er Co Y
6 4 6
Direct
0.676 0.352 0.064
0.438 0.875 0.250
0.562 0.125 0.750
0.324 0.648 0.936
0.676 0.352 0.436
0.324 0.648 0.564
0.296 0.592 0.358
0.704 0.408 0.642
0.296 0.592 0.142
0.704 0.408 0.858
0.714 0.427 0.250
0.935 0.870 0.412
0.065 0.130 0.912
0.065 0.130 0.588
0.286 0.573 0.750
0.935 0.870 0.088

No. 7
YErZnCo PBE optimized geometry; ΔE to the lowest computed polymorph = 9 meV per atom; space group = No. 216
1.0
-4.397 0.753 1.918
-0.909 -1.326 4.582
-0.605 3.382 3.432
Y Zn Co Er
1 1 1 1
Direct
0.750 0.750 0.750
0.000 0.000 0.000
0.500 0.500 0.500
0.250 0.250 0.250

No. 8
YErZnCo PBE optimized geometry; ΔE to the lowest computed polymorph = 0 meV per atom; space group = No. 38
1.0
3.847 0.000 0.000
0.000 4.193 0.000
-1.923 0.000 5.285
Y Er Co Zn
1 1 1 1
Direct
0.143 0.000 0.285
0.860 0.500 0.720
0.432 0.000 0.864
0.565 0.500 0.131

No. 9
ErZn2Co PBE optimized geometry; space group = No. 62
1.0
5.131 0.000 0.000
0.000 7.219 0.000
0.000 0.000 14.449
Zn Co Er
16 8 8
Direct
0.247 0.442 0.960
0.560 0.450 0.711
0.940 0.450 0.211
0.440 0.550 0.289
0.747 0.942 0.540
0.940 0.050 0.211
0.747 0.558 0.540
0.253 0.442 0.460
0.753 0.558 0.040
0.247 0.058 0.960
0.060 0.950 0.789
0.253 0.058 0.460
0.560 0.050 0.711
0.060 0.550 0.789
0.753 0.942 0.040
0.440 0.950 0.289
0.208 0.250 0.312
0.979 0.250 0.071
0.021 0.750 0.929
0.708 0.750 0.188
0.521 0.250 0.571
0.792 0.750 0.688
0.479 0.750 0.429
0.292 0.250 0.812
0.762 0.250 0.897
0.455 0.250 0.139
0.045 0.250 0.639
0.955 0.750 0.361
0.738 0.250 0.397
0.545 0.750 0.861
0.262 0.750 0.603
0.238 0.750 0.103

No. 10
Er5Zn4Co PBE optimized geometry; space group = No. 123
1.0
3.474 0.000 0.000
0.000 3.474 0.000
0.000 0.000 17.630
Er Zn Co
5 4 1
Direct
0.500 0.500 0.910
0.500 0.500 0.704
0.500 0.500 0.090
0.500 0.500 0.296
0.500 0.500 0.500
0.000 0.000 0.805
0.000 0.000 0.603
0.000 0.000 0.397
0.000 0.000 0.195
0.000 0.000 0.000

No. 11
Er3ZnCo8 PBE optimized geometry; space group = No. 160
1.0
4.960 0.000 0.000
2.480 4.295 0.000
2.480 1.432 8.122
Co Er Zn
8 3 1
Direct
0.935 0.437 0.191
0.938 0.442 0.682
0.688 0.688 0.937
0.437 0.935 0.191
0.188 0.188 0.435
0.437 0.437 0.191
0.442 0.938 0.682
0.938 0.938 0.682
0.504 0.504 0.487
0.376 0.376 0.872
0.994 0.994 0.019
0.872 0.872 0.383

No. 12
ErZn12Co4 PBE optimized geometry; space group = No. 204
1.0
7.247 0.000 0.000
-2.416 6.832 0.000
-2.416 -3.416 5.917
Zn Co Er
12 4 1
Direct
0.510 0.165 0.345
0.655 0.820 0.165
0.655 0.490 0.835
0.835 0.345 0.180
0.345 0.510 0.165
0.165 0.345 0.510
0.835 0.655 0.490
0.165 0.655 0.820
0.180 0.835 0.345
0.490 0.835 0.655
0.820 0.165 0.655
0.345 0.180 0.835
0.000 0.000 0.500
0.500 0.000 0.000
0.500 0.500 0.500
0.000 0.500 0.000
0.000 0.000 0.000

no.,final energy (Ha/atom),energy of formation from the pure elements (meV/atom),ρ (g/cm³)
1,-0.20711,-85,7.93
2,-0.23912,-166,7.04
3,-0.23556,-34,6.10
4,-0.23089,-134,6.51
5,-0.22282,-103,8.13
6,-0.21965,-65,6.91
7,-0.18711,-240,7.80
8,-0.18743,-249,7.41
9,-0.14109,-285,8.86
10,-0.14050,-322,9.03
11,-0.22726,-200,9.97
12,-0.09341,298,6.73